# 1
A plane-wave DFT calculation with PBE was carried out for a geometry-optimized LiRuBr2 structure.

Cell and atoms, written as POSCAR:
```
LiRuBr2
1.0
3.520 0.000 0.000
-1.760 3.048 0.000
0.000 0.000 24.297
Li Ru Br
3 3 6
Direct
0.000 0.000 0.000
0.333 0.667 0.667
0.667 0.333 0.333
0.000 0.000 0.500
0.333 0.667 0.167
0.667 0.333 0.833
0.000 0.000 0.399
0.000 0.000 0.601
0.333 0.667 0.066
0.333 0.667 0.267
0.667 0.333 0.733
0.667 0.333 0.934
```

Summary:
Crystal system: trigonal
Distance to the lowest polymorph of the same formula, meV per atom: 67.4
Formation energy from raw total energies, eV per atom: -0.101

---

# 2
A plane-wave DFT calculation with PBE was carried out for a geometry-optimized RbNa2Zn structure.

Cell and atoms, written as POSCAR:
```
RbNa2Zn
1.0
4.019 0.000 0.000
0.000 4.019 0.000
0.000 0.000 9.864
Rb Na Zn
1 2 1
Direct
0.000 0.000 0.000
0.500 0.500 0.335
0.500 0.500 0.665
0.000 0.000 0.500
```

Summary:
Crystal system: tetragonal
DFT total energy, eV/atom: -1.091

---

# 3
A plane-wave DFT calculation with PBE was carried out for a geometry-optimized Tb3Ga3Pt structure.

Cell and atoms, written as POSCAR:
```
Tb3Ga3Pt
1.0
5.369 -2.174 0.000
5.369 2.174 0.000
-4.839 0.000 13.500
Tb Ga Pt
6 6 2
Direct
0.030 0.030 0.381
0.107 0.107 0.925
0.239 0.239 0.235
0.761 0.761 0.765
0.893 0.893 0.075
0.970 0.970 0.619
0.362 0.362 0.464
0.391 0.391 0.924
0.474 0.474 0.771
0.526 0.526 0.229
0.609 0.609 0.076
0.638 0.638 0.536
0.252 0.252 0.614
0.748 0.748 0.386
```

Summary:
Crystal system: monoclinic
DFT total energy, eV/atom: -4.964

---

# 4
A plane-wave DFT calculation with PBE was carried out for a geometry-optimized Cr2CoAg structure.

Cell and atoms, written as POSCAR:
```
Cr2CoAg
1.0
6.092 0.000 0.000
0.000 6.092 0.000
0.000 0.000 6.092
Cr Co Ag
8 4 4
Direct
0.250 0.250 0.250
0.250 0.250 0.750
0.250 0.750 0.250
0.250 0.750 0.750
0.750 0.250 0.250
0.750 0.250 0.750
0.750 0.750 0.250
0.750 0.750 0.750
0.000 0.000 0.000
0.000 0.500 0.500
0.500 0.000 0.500
0.500 0.500 0.000
0.000 0.000 0.500
0.000 0.500 0.000
0.500 0.000 0.000
0.500 0.500 0.500
```

Summary:
Crystal system: cubic
Distance to the lowest polymorph of the same formula, meV per atom: 293.6